Here is a relaxed ZrPtW2 crystal from Alexandria. Energies are from GGA-PBE.

abc: 9.9808 9.9808 9.9808
angles: 16.41 16.41 16.41
Positions (direct):
Zr  0.0000  0.0000  0.0000
Pt  0.7513  0.7513  0.7513
W  0.2432  0.2432  0.2432
W  0.4948  0.4948  0.4948

SG: R3m
Calculated formation energy, eV/atom: 0.124
Energy, eV per cell: -40.00
M_tot, μB/f.u.: 0.0


Here is a relaxed LiGeTeI2 crystal from Alexandria. Energies are from GGA-PBE.

abc: 5.3256 5.3256 5.3323
angles: 90.00 90.00 90.00
Positions (direct):
Li  0.0000  0.0000  0.0000
Ge  0.5000  0.5000  0.5000
Te  0.0000  0.0000  0.5000
I  0.0000  0.5000  0.0000
I  0.5000  0.0000  0.0000

SG: P4/mmm
Energy, eV per cell: -12.15
M_tot, μB/f.u.: 0.0


Here is a relaxed Zr3PS crystal from Alexandria. Energies are from GGA-PBE.

abc: 4.7608 4.7608 4.7608
angles: 90.00 90.00 90.00
Positions (direct):
Zr  0.0000  0.0000  0.5000
Zr  0.0000  0.5000  0.0000
Zr  0.5000  0.0000  0.0000
P  0.5000  0.5000  0.5000
S  0.0000  0.0000  0.0000

SG: Pm-3m
Energy, eV per cell: -36.40
M_tot, μB/f.u.: 0.0